[1]
! ErPu4Ge5 | Alexandria via LeMat-Bulk | PBE-GGA | relaxed; values from VASP
&SYSTEM
  ibrav = 0, nat = 10, ntyp = 3
/
ATOMIC_SPECIES
Er 167.26 Er.upf
Pu 244.00 Pu.upf
Ge 72.64 Ge.upf
ATOMIC_POSITIONS crystal
Er 0.000 0.000 0.000
Pu 0.000 0.000 0.198
Pu 0.000 0.000 0.399
Pu 0.000 0.000 0.601
Pu 0.000 0.000 0.802
Ge 0.500 0.500 0.098
Ge 0.500 0.500 0.299
Ge 0.500 0.500 0.500
Ge 0.500 0.500 0.701
Ge 0.500 0.500 0.902
CELL_PARAMETERS angstrom
3.245 0.000 0.000
0.000 3.245 0.000
0.000 0.000 20.710
! N(E_F) in states/eV/atom: 2.409
! Size of the total moment in μB/f.u.: 22.30
! ΔH_f (0 K) in kJ/mol of formula units: -463
! Electronic total energy in eV per atom: -8.977

=====

[2]
! BeCu2Pb | Alexandria via LeMat-Bulk | PBE-GGA | relaxed; values from VASP
&SYSTEM
  ibrav = 0, nat = 4, ntyp = 3
/
ATOMIC_SPECIES
Be 9.01 Be.upf
Cu 63.55 Cu.upf
Pb 207.20 Pb.upf
ATOMIC_POSITIONS crystal
Be 0.000 0.000 0.000
Cu 0.500 0.500 0.500
Cu 0.750 0.750 0.750
Pb 0.250 0.250 0.250
CELL_PARAMETERS angstrom
0.000 3.137 3.137
3.137 0.000 3.137
3.137 3.137 0.000
! N(E_F) in states/eV/atom: 0.222
! Size of the total moment in μB/f.u.: 0.00
! ΔH_f (0 K) in kJ/mol of formula units: 192
! Electronic total energy in eV per atom: -3.409
! Energy above the lowest structure with this stoichiometry in meV per atom: 254

=====

[3]
! ZrSb2Ir | Alexandria via LeMat-Bulk | PBE-GGA | relaxed; values from VASP
&SYSTEM
  ibrav = 0, nat = 4, ntyp = 3
/
ATOMIC_SPECIES
Zr 91.22 Zr.upf
Sb 121.76 Sb.upf
Ir 192.22 Ir.upf
ATOMIC_POSITIONS crystal
Zr 0.000 0.000 0.000
Sb 0.500 0.500 0.276
Sb 0.500 0.500 0.724
Ir 0.000 0.000 0.500
CELL_PARAMETERS angstrom
2.189 -2.724 0.000
2.189 2.724 0.000
0.000 0.000 7.033
! N(E_F) in states/eV/atom: 0.801
! Size of the total moment in μB/f.u.: 0.00
! Electronic total energy in eV per atom: -6.504
! E_form (uncorrected) in eV per atom: -0.0903
! Energy above the lowest structure with this stoichiometry in meV per atom: 277

=====

[4]
! FeWS2I | Alexandria via LeMat-Bulk | PBE-GGA | relaxed; values from VASP
&SYSTEM
  ibrav = 0, nat = 5, ntyp = 4
/
ATOMIC_SPECIES
Fe 55.84 Fe.upf
W 183.84 W.upf
S 32.06 S.upf
I 126.90 I.upf
ATOMIC_POSITIONS crystal
Fe 0.000 0.000 0.000
W 0.000 0.000 0.500
S 0.000 0.500 0.000
S 0.500 0.000 0.000
I 0.500 0.500 0.500
CELL_PARAMETERS angstrom
4.274 0.000 0.000
0.000 4.274 0.000
0.000 0.000 5.541
! N(E_F) in states/eV/atom: 1.070
! Size of the total moment in μB/f.u.: 5.04
! Electronic total energy in eV per atom: -5.279
! E_form (uncorrected) in eV per atom: 0.9656

=====

[5]
! Cs2RbMgBi | Alexandria via LeMat-Bulk | PBE-GGA | relaxed; values from VASP
&SYSTEM
  ibrav = 0, nat = 5, ntyp = 4
/
ATOMIC_SPECIES
Cs 132.91 Cs.upf
Rb 85.47 Rb.upf
Mg 24.30 Mg.upf
Bi 208.98 Bi.upf
ATOMIC_POSITIONS crystal
Cs 0.000 0.500 0.000
Cs 0.500 0.000 0.000
Rb 0.000 0.000 0.500
Mg 0.500 0.500 0.500
Bi 0.500 0.500 0.000
CELL_PARAMETERS angstrom
7.922 0.000 0.000
0.000 7.922 0.000
0.000 0.000 5.660
! N(E_F) in states/eV/atom: 0.894
! Size of the total moment in μB/f.u.: 0.00
! ΔH_f (0 K) in kJ/mol of formula units: -29
! Electronic total energy in eV per atom: -1.689

=====

[6]
! MnVCo3 | Alexandria via LeMat-Bulk | PBE-GGA | relaxed; values from VASP
&SYSTEM
  ibrav = 0, nat = 10, ntyp = 3
/
ATOMIC_SPECIES
Mn 54.94 Mn.upf
V 50.94 V.upf
Co 58.93 Co.upf
ATOMIC_POSITIONS crystal
Mn 0.067 0.067 0.317
Mn 0.933 0.933 0.683
V 0.300 0.300 0.551
V 0.700 0.700 0.449
Co 0.086 0.613 0.100
Co 0.387 0.914 0.900
Co 0.500 0.500 0.000
Co 0.500 0.500 0.500
Co 0.613 0.086 0.100
Co 0.914 0.387 0.900
CELL_PARAMETERS angstrom
6.219 -2.336 0.000
6.219 2.336 0.000
-1.564 0.000 4.132
! N(E_F) in states/eV/atom: 1.272
! Size of the total moment in μB/f.u.: 5.99
! ΔH_f (0 K) in kJ/mol of formula units: 17
! Electronic total energy in eV per atom: -7.886
! Energy above the lowest structure with this stoichiometry in meV per atom: 0

=====

[7]
! YH2Pt | Alexandria via LeMat-Bulk | PBE-GGA | relaxed; values from VASP
&SYSTEM
  ibrav = 0, nat = 4, ntyp = 3
/
ATOMIC_SPECIES
Y 88.91 Y.upf
H 1.01 H.upf
Pt 195.08 Pt.upf
ATOMIC_POSITIONS crystal
Y 0.000 0.000 0.000
H 0.351 0.351 0.351
H 0.649 0.649 0.649
Pt 0.500 0.500 0.500
CELL_PARAMETERS angstrom
2.049 1.183 3.741
-2.049 1.183 3.741
0.000 -2.366 3.741
! N(E_F) in states/eV/atom: 0.388
! Size of the total moment in μB/f.u.: 0.00
! Electronic total energy in eV per atom: -5.473
! Energy above the lowest structure with this stoichiometry in meV per atom: 4

=====

[8]
! Ca2ZnBr2O2 | Alexandria via LeMat-Bulk | PBE-GGA | relaxed; values from VASP
&SYSTEM
  ibrav = 0, nat = 7, ntyp = 4
/
ATOMIC_SPECIES
Ca 40.08 Ca.upf
Zn 65.41 Zn.upf
Br 79.90 Br.upf
O 16.00 O.upf
ATOMIC_POSITIONS crystal
Ca 0.084 0.084 0.000
Ca 0.916 0.916 0.000
Zn 0.500 0.500 0.000
Br 0.338 0.338 0.000
Br 0.662 0.662 0.000
O 0.000 0.500 0.500
O 0.500 0.000 0.500
CELL_PARAMETERS angstrom
-1.998 1.998 9.069
1.998 -1.998 9.069
1.998 1.998 -9.069
! N(E_F) in states/eV/atom: 0.000
! Size of the total moment in μB/f.u.: 0.00
! Electronic total energy in eV per atom: -4.707
! E_form (uncorrected) in eV per atom: -2.0589

=====

[9]
! HoTh3Tc | Alexandria via LeMat-Bulk | PBE-GGA | relaxed; values from VASP
&SYSTEM
  ibrav = 0, nat = 5, ntyp = 3
/
ATOMIC_SPECIES
Ho 164.93 Ho.upf
Th 232.04 Th.upf
Tc 98.00 Tc.upf
ATOMIC_POSITIONS crystal
Ho 0.000 0.000 0.000
Th 0.000 0.500 0.500
Th 0.500 0.000 0.500
Th 0.500 0.500 0.000
Tc 0.500 0.500 0.500
CELL_PARAMETERS angstrom
5.484 0.000 0.000
0.000 5.484 0.000
0.000 0.000 5.484
! N(E_F) in states/eV/atom: 1.816
! Size of the total moment in μB/f.u.: 0.00
! ΔH_f (0 K) in kJ/mol of formula units: 59
! Electronic total energy in eV per atom: -7.319
! Energy above the lowest structure with this stoichiometry in meV per atom: 112

=====

[10]
! Sm2ThGe | Alexandria via LeMat-Bulk | PBE-GGA | relaxed; values from VASP
&SYSTEM
  ibrav = 0, nat = 4, ntyp = 3
/
ATOMIC_SPECIES
Sm 150.36 Sm.upf
Th 232.04 Th.upf
Ge 72.64 Ge.upf
ATOMIC_POSITIONS crystal
Sm 0.000 0.000 0.206
Sm 0.000 0.000 0.794
Th 0.500 0.500 0.500
Ge 0.500 0.500 0.000
CELL_PARAMETERS angstrom
3.885 0.000 0.000
0.000 3.885 0.000
0.000 0.000 7.279
! N(E_F) in states/eV/atom: 1.600
! Size of the total moment in μB/f.u.: 0.00
! ΔH_f (0 K) in kJ/mol of formula units: -120
! Electronic total energy in eV per atom: -5.679
! Energy above the lowest structure with this stoichiometry in meV per atom: 0

=====

[11]
! GaCuPt4 | Alexandria via LeMat-Bulk | PBE-GGA | relaxed; values from VASP
&SYSTEM
  ibrav = 0, nat = 12, ntyp = 3
/
ATOMIC_SPECIES
Ga 69.72 Ga.upf
Cu 63.55 Cu.upf
Pt 195.08 Pt.upf
ATOMIC_POSITIONS crystal
Ga 0.125 0.875 0.750
Ga 0.875 0.125 0.250
Cu 0.375 0.625 0.250
Cu 0.625 0.375 0.750
Pt 0.000 0.251 0.999
Pt 0.000 0.749 0.001
Pt 0.251 0.000 0.499
Pt 0.252 0.500 0.501
Pt 0.500 0.252 0.001
Pt 0.500 0.748 0.999
Pt 0.748 0.500 0.499
Pt 0.749 0.000 0.501
CELL_PARAMETERS angstrom
4.121 -4.146 0.000
4.121 4.146 0.000
-4.110 0.000 5.842
! N(E_F) in states/eV/atom: 0.854
! Size of the total moment in μB/f.u.: 0.00
! ΔH_f (0 K) in kJ/mol of formula units: -84
! Electronic total energy in eV per atom: -5.359
! Energy above the lowest structure with this stoichiometry in meV per atom: 191

=====

[12]
! Sr2Zn3Ga5 | Alexandria via LeMat-Bulk | PBE-GGA | relaxed; values from VASP
&SYSTEM
  ibrav = 0, nat = 20, ntyp = 3
/
ATOMIC_SPECIES
Sr 87.62 Sr.upf
Zn 65.41 Zn.upf
Ga 69.72 Ga.upf
ATOMIC_POSITIONS crystal
Sr 0.126 0.249 0.375
Sr 0.374 0.749 0.124
Sr 0.626 0.251 0.876
Sr 0.874 0.751 0.625
Zn 0.125 0.867 0.993
Zn 0.250 0.750 0.500
Zn 0.375 0.367 0.742
Zn 0.625 0.633 0.258
Zn 0.750 0.250 0.500
Zn 0.875 0.133 0.007
Ga 0.002 0.750 0.252
Ga 0.123 0.635 0.759
Ga 0.250 0.250 0.000
Ga 0.377 0.135 0.512
Ga 0.498 0.750 0.748
Ga 0.502 0.250 0.252
Ga 0.623 0.865 0.488
Ga 0.750 0.750 0.000
Ga 0.877 0.365 0.241
Ga 0.998 0.250 0.748
CELL_PARAMETERS angstrom
-5.470 6.212 3.093
5.470 -6.212 3.093
5.470 6.212 -3.093
! N(E_F) in states/eV/atom: 0.387
! Size of the total moment in μB/f.u.: 0.00
! ΔH_f (0 K) in kJ/mol of formula units: -365
! Electronic total energy in eV per atom: -2.611
! Energy above the lowest structure with this stoichiometry in meV per atom: 0

=====

[13]
! CeEr4N4 | Alexandria via LeMat-Bulk | PBE-GGA | relaxed; values from VASP
&SYSTEM
  ibrav = 0, nat = 9, ntyp = 3
/
ATOMIC_SPECIES
Ce 140.12 Ce.upf
Er 167.26 Er.upf
N 14.01 N.upf
ATOMIC_POSITIONS crystal
Ce 0.000 0.000 0.000
Er 0.000 0.500 0.500
Er 0.282 0.282 0.000
Er 0.500 0.000 0.500
Er 0.718 0.718 0.000
N 0.121 0.635 0.000
N 0.365 0.365 0.486
N 0.635 0.121 0.000
N 0.879 0.879 0.514
CELL_PARAMETERS angstrom
-2.820 2.820 5.391
2.820 -2.820 5.391
2.820 2.820 -5.391
! N(E_F) in states/eV/atom: 0.599
! Size of the total moment in μB/f.u.: 3.01
! Electronic total energy in eV per atom: -7.204
! E_form (uncorrected) in eV per atom: -0.8169
! Energy above the lowest structure with this stoichiometry in meV per atom: 658

=====

[14]
! GaFe2Re | Alexandria via LeMat-Bulk | PBE-GGA | relaxed; values from VASP
&SYSTEM
  ibrav = 0, nat = 4, ntyp = 3
/
ATOMIC_SPECIES
Ga 69.72 Ga.upf
Fe 55.84 Fe.upf
Re 186.21 Re.upf
ATOMIC_POSITIONS crystal
Ga 0.000 0.000 0.000
Fe 0.389 0.389 0.389
Fe 0.576 0.576 0.576
Re 0.789 0.789 0.789
CELL_PARAMETERS angstrom
1.985 1.146 4.113
-1.985 1.146 4.113
0.000 -2.293 4.113
! N(E_F) in states/eV/atom: 0.505
! Size of the total moment in μB/f.u.: 2.08
! ΔH_f (0 K) in kJ/mol of formula units: 95
! Electronic total energy in eV per atom: -7.855

=====

[15]
! Er2Al2In | Alexandria via LeMat-Bulk | PBE-GGA | relaxed; values from VASP
&SYSTEM
  ibrav = 0, nat = 10, ntyp = 3
/
ATOMIC_SPECIES
Er 167.26 Er.upf
Al 26.98 Al.upf
In 114.82 In.upf
ATOMIC_POSITIONS crystal
Er 0.169 0.331 0.000
Er 0.331 0.831 0.000
Er 0.669 0.169 0.000
Er 0.831 0.669 0.000
Al 0.128 0.628 0.500
Al 0.372 0.128 0.500
Al 0.628 0.872 0.500
Al 0.872 0.372 0.500
In 0.000 0.000 0.500
In 0.500 0.500 0.500
CELL_PARAMETERS angstrom
7.173 0.000 0.000
0.000 7.173 0.000
0.000 0.000 4.528
! N(E_F) in states/eV/atom: 0.446
! Size of the total moment in μB/f.u.: 0.00
! ΔH_f (0 K) in kJ/mol of formula units: -218
! Electronic total energy in eV per atom: -4.322
! Energy above the lowest structure with this stoichiometry in meV per atom: 14

=====

[16]
! Sm4CdAu3 | Alexandria via LeMat-Bulk | PBE-GGA | relaxed; values from VASP
&SYSTEM
  ibrav = 0, nat = 8, ntyp = 3
/
ATOMIC_SPECIES
Sm 150.36 Sm.upf
Cd 112.41 Cd.upf
Au 196.97 Au.upf
ATOMIC_POSITIONS crystal
Sm 0.000 0.000 0.000
Sm 0.000 0.000 0.500
Sm 0.000 0.500 0.240
Sm 0.000 0.500 0.760
Cd 0.500 0.500 0.500
Au 0.500 0.000 0.260
Au 0.500 0.000 0.740
Au 0.500 0.500 0.000
CELL_PARAMETERS angstrom
3.699 0.000 0.000
0.000 5.238 0.000
0.000 0.000 10.502
! N(E_F) in states/eV/atom: 0.792
! Size of the total moment in μB/f.u.: 0.00
! ΔH_f (0 K) in kJ/mol of formula units: -518
! Electronic total energy in eV per atom: -4.374

=====

[17]
! TaAlH2 | Alexandria via LeMat-Bulk | PBE-GGA | relaxed; values from VASP
&SYSTEM
  ibrav = 0, nat = 4, ntyp = 3
/
ATOMIC_SPECIES
Ta 180.95 Ta.upf
Al 26.98 Al.upf
H 1.01 H.upf
ATOMIC_POSITIONS crystal
Ta 0.000 0.000 0.000
Al 0.500 0.500 0.500
H 0.376 0.376 0.376
H 0.624 0.624 0.624
CELL_PARAMETERS angstrom
1.541 0.889 5.128
-1.541 0.889 5.128
0.000 -1.779 5.128
! N(E_F) in states/eV/atom: 0.474
! Size of the total moment in μB/f.u.: 0.00
! Electronic total energy in eV per atom: -5.467
! Energy above the lowest structure with this stoichiometry in meV per atom: 2

=====

[18]
! LaNd2Mg9 | Alexandria via LeMat-Bulk | PBE-GGA | relaxed; values from VASP
&SYSTEM
  ibrav = 0, nat = 12, ntyp = 3
/
ATOMIC_SPECIES
La 138.91 La.upf
Nd 144.24 Nd.upf
Mg 24.30 Mg.upf
ATOMIC_POSITIONS crystal
La 0.000 0.000 0.000
Nd 0.144 0.144 0.144
Nd 0.856 0.856 0.856
Mg 0.080 0.585 0.585
Mg 0.334 0.334 0.334
Mg 0.415 0.415 0.920
Mg 0.415 0.920 0.415
Mg 0.500 0.500 0.500
Mg 0.585 0.080 0.585
Mg 0.585 0.585 0.080
Mg 0.666 0.666 0.666
Mg 0.920 0.415 0.415
CELL_PARAMETERS angstrom
3.048 1.760 9.998
-3.048 1.760 9.998
0.000 -3.520 9.998
! N(E_F) in states/eV/atom: 1.013
! Size of the total moment in μB/f.u.: 0.00
! ΔH_f (0 K) in kJ/mol of formula units: -97
! Electronic total energy in eV per atom: -2.485

=====

[19]
! MnCo2As | Alexandria via LeMat-Bulk | PBE-GGA | relaxed; values from VASP
&SYSTEM
  ibrav = 0, nat = 4, ntyp = 3
/
ATOMIC_SPECIES
Mn 54.94 Mn.upf
Co 58.93 Co.upf
As 74.92 As.upf
ATOMIC_POSITIONS crystal
Mn 0.000 0.000 0.000
Co 0.000 0.500 0.322
Co 0.500 0.000 0.498
As 0.500 0.500 0.824
CELL_PARAMETERS angstrom
2.873 0.000 0.000
0.000 4.147 0.000
0.000 0.000 4.120
! N(E_F) in states/eV/atom: 0.705
! Size of the total moment in μB/f.u.: 5.10
! ΔH_f (0 K) in kJ/mol of formula units: 5
! Electronic total energy in eV per atom: -6.996

=====

[20]
! Tb5MgBi2 | Alexandria via LeMat-Bulk | PBE-GGA | relaxed; values from VASP
&SYSTEM
  ibrav = 0, nat = 16, ntyp = 3
/
ATOMIC_SPECIES
Tb 158.93 Tb.upf
Mg 24.30 Mg.upf
Bi 208.98 Bi.upf
ATOMIC_POSITIONS crystal
Tb 0.051 0.949 0.606
Tb 0.051 0.949 0.894
Tb 0.358 0.642 0.526
Tb 0.358 0.642 0.974
Tb 0.421 0.579 0.750
Tb 0.579 0.421 0.250
Tb 0.642 0.358 0.026
Tb 0.642 0.358 0.474
Tb 0.949 0.051 0.106
Tb 0.949 0.051 0.394
Mg 0.154 0.846 0.750
Mg 0.846 0.154 0.250
Bi 0.234 0.766 0.147
Bi 0.234 0.766 0.353
Bi 0.766 0.234 0.647
Bi 0.766 0.234 0.853
CELL_PARAMETERS angstrom
2.041 -5.959 0.000
2.041 5.959 0.000
0.000 0.000 19.577
! N(E_F) in states/eV/atom: 0.858
! Size of the total moment in μB/f.u.: 0.00
! ΔH_f (0 K) in kJ/mol of formula units: -229
! Electronic total energy in eV per atom: -4.360